Record 1
# Ca2Y2Sn2S

A relaxed structure of Ca2Y2Sn2S (PBE, the Alexandria database).

Summary:
As for the crystal system: tetragonal.

abc: 5.129 5.129 16.480
angles: 90.00 90.00 90.00
Space group I4/mmm (No. 139)
One atom of each set of equivalent atoms:
1 Ca 0.000 0.000 0.177 [4 per cell]
2 Y 0.000 0.500 0.000 [4 per cell]
3 Sn 0.000 0.000 0.372 [4 per cell]
4 S 0.000 0.000 0.000 [2 per cell]

Record 2
# Tl2ReSi

A relaxed structure of Tl2ReSi (PBE, the Alexandria database).

Summary:
As for the crystal system: tetragonal. As for the energy above the most stable polymorph in this dataset: 0.188 eV/atom.

abc: 10.552 10.552 4.658
angles: 90.00 90.00 90.00
Space group I-42d (No. 122)
One atom of each set of equivalent atoms:
1 Tl 0.001 0.250 0.125 [8 per cell]
2 Re 0.000 0.000 0.000 [4 per cell]
3 Si 0.000 0.000 0.500 [4 per cell]

| no. | formation energy from raw total energies (eV/atom) |
| --- | --- |
| 1 | -0.997 |
| 2 | 0.541 |